Record 1
# Nb2Co2Ir

Crystalline Nb2Co2Ir at its relaxed geometry (PBE, the Alexandria database).

## Properties
energy relative to the elements	-1.46	eV per formula unit
symmetry	P4/mbm
mass density	11569	kg/m3
energy	-8.93	eV/atom

POSCAR file:
```
Nb2Co2Ir
1.0
6.8071 0.0000 0.0000
0.0000 6.8071 0.0000
0.0000 0.0000 3.0722
Nb Co Ir
4 4 2
Direct
0.1766 0.3234 0.0000
0.3234 0.8234 0.0000
0.6766 0.1766 0.0000
0.8234 0.6766 0.0000
0.1257 0.6257 0.5000
0.3743 0.1257 0.5000
0.6257 0.8743 0.5000
0.8743 0.3743 0.5000
0.0000 0.0000 0.5000
0.5000 0.5000 0.5000
```

=====

Record 2
# LiSe2Cl

Crystalline LiSe2Cl at its relaxed geometry (PBE, the Alexandria database).

## Properties
symmetry	I-4m2
E above lowest polymorph	682	meV/atom
mass density	4020	kg/m3
uncorrected formation energy	-0.0872	eV/atom
energy	-2.77	eV/atom

POSCAR file:
```
LiSe2Cl
1.0
-2.4465 2.4465 3.4557
2.4465 -2.4465 3.4557
2.4465 2.4465 -3.4557
Li Se Cl
1 2 1
Direct
0.0000 0.0000 0.0000
0.5000 0.5000 0.0000
0.7500 0.2500 0.5000
0.2500 0.7500 0.5000
```

=====

Record 3
# KBa2ZnCl

Crystalline KBa2ZnCl at its relaxed geometry (PBE, the Alexandria database).

## Properties
symmetry	P4/mmm
mass density	2829	kg/m3
uncorrected formation energy	-0.4549	eV/atom
energy	-2.07	eV/atom

POSCAR file:
```
KBa2ZnCl
1.0
6.1606 0.0000 0.0000
0.0000 6.1606 0.0000
0.0000 0.0000 6.4133
K Ba Zn Cl
1 2 1 1
Direct
0.0000 0.0000 0.0000
0.0000 0.5000 0.5000
0.5000 0.0000 0.5000
0.5000 0.5000 0.0000
0.5000 0.5000 0.5000
```

=====

Record 4
# ScRe2Au

Crystalline ScRe2Au at its relaxed geometry (PBE, the Alexandria database).

## Properties
energy relative to the elements	0.58	eV per formula unit
symmetry	P2/m
E above lowest polymorph	269	meV/atom
mass density	15007	kg/m3
energy	-8.48	eV/atom

POSCAR file:
```
ScRe2Au
1.0
2.8641 0.0000 0.0000
0.0000 4.8830 0.0000
-0.2717 0.0000 4.8605
Sc Re Au
1 2 1
Direct
0.0000 0.0000 0.0000
0.3137 0.5000 0.7640
0.6863 0.5000 0.2360
0.5000 0.0000 0.5000
```

=====

Record 5
# SrOs

Crystalline SrOs at its relaxed geometry (PBE, the Alexandria database).

## Properties
energy relative to the elements	2.54	eV per formula unit
symmetry	P4_2/mnm
mass density	7355	kg/m3
energy	-5.18	eV/atom

POSCAR file:
```
SrOs
1.0
6.3992 0.0000 0.0000
0.0000 6.3992 0.0000
0.0000 0.0000 6.1277
Sr Os
4 4
Direct
0.1907 0.1907 0.0000
0.3093 0.6907 0.5000
0.6907 0.3093 0.5000
0.8093 0.8093 0.0000
0.1281 0.1281 0.5000
0.3719 0.6281 0.0000
0.6281 0.3719 0.0000
0.8719 0.8719 0.5000
```

=====

Record 6
# LiNdIn3

Crystalline LiNdIn3 at its relaxed geometry (PBE, the Alexandria database).

## Properties
energy relative to the elements	-1.48	eV per formula unit
symmetry	P6_3/mmc
mass density	6687	kg/m3
energy	-3.27	eV/atom

POSCAR file:
```
LiNdIn3
1.0
6.8812 0.0000 0.0000
-3.4406 5.9593 0.0000
0.0000 0.0000 6.0027
Li Nd In
2 2 6
Direct
0.0000 0.0000 0.0000
0.0000 0.0000 0.5000
0.3333 0.6667 0.2500
0.6667 0.3333 0.7500
0.1881 0.3763 0.7500
0.1881 0.8119 0.7500
0.3763 0.1881 0.2500
0.6237 0.8119 0.7500
0.8119 0.1881 0.2500
0.8119 0.6237 0.2500
```

=====

Record 7
# Ce6SiOs2Cl3

Crystalline Ce6SiOs2Cl3 at its relaxed geometry (PBE, the Alexandria database).

## Properties
symmetry	C2/m
mass density	7275	kg/m3
uncorrected formation energy	-0.9016	eV/atom
energy	-6.65	eV/atom

POSCAR file:
```
Ce6SiOs2Cl3
1.0
3.5685 -6.1670 0.0000
3.5685 6.1670 0.0000
-2.3971 0.0000 7.0297
Ce Si Os Cl
6 1 2 3
Direct
0.0790 0.4275 0.7802
0.2233 0.2233 0.2158
0.4275 0.0790 0.7802
0.5725 0.9210 0.2198
0.7767 0.7767 0.7842
0.9210 0.5725 0.2198
0.5000 0.5000 0.0000
0.1673 0.8327 0.0000
0.8327 0.1673 0.0000
0.0000 0.0000 0.5000
0.3406 0.6594 0.5000
0.6594 0.3406 0.5000
```

=====

Record 8
# ReTcPd

Crystalline ReTcPd at its relaxed geometry (PBE, the Alexandria database).

## Properties
energy relative to the elements	0.11	eV per formula unit
symmetry	P3m1
E above lowest polymorph	68	meV/atom
mass density	14468	kg/m3
energy	-9.30	eV/atom

POSCAR file:
```
ReTcPd
1.0
2.7632 0.0000 0.0000
-1.3816 2.3930 0.0000
0.0000 0.0000 6.7802
Re Tc Pd
1 1 1
Direct
0.0000 0.0000 0.0000
0.3333 0.6667 0.6882
0.6667 0.3333 0.3438
```

=====

Record 9
# PmTm2PuP4

Crystalline PmTm2PuP4 at its relaxed geometry (PBE, the Alexandria database).

## Properties
energy relative to the elements	-11.71	eV per formula unit
symmetry	P2/m
mass density	7784	kg/m3
energy	-7.67	eV/atom

POSCAR file:
```
PmTm2PuP4
1.0
6.9179 0.0000 0.0000
0.0000 4.0133 0.0000
-2.3188 0.0000 6.5369
Pm Tm Pu P
1 2 1 4
Direct
0.0000 0.0000 0.0000
0.5000 0.0000 0.5000
0.5000 0.5000 0.0000
0.0000 0.5000 0.5000
0.2533 0.0000 0.7456
0.2575 0.5000 0.2580
0.7425 0.5000 0.7420
0.7467 0.0000 0.2544
```

=====

Record 10
# La4SiCl4

Crystalline La4SiCl4 at its relaxed geometry (PBE, the Alexandria database).

## Properties
symmetry	C2/m
mass density	4517	kg/m3
uncorrected formation energy	-1.6632	eV/atom
energy	-5.28	eV/atom

POSCAR file:
```
La4SiCl4
1.0
6.8596 -2.1140 0.0000
6.8596 2.1140 0.0000
-5.6219 0.0000 9.1966
La Si Cl
4 1 4
Direct
0.1002 0.1002 0.4148
0.3021 0.3021 0.2171
0.6979 0.6979 0.7829
0.8998 0.8998 0.5852
0.5000 0.5000 0.5000
0.1077 0.1077 0.8917
0.3182 0.3182 0.7236
0.6818 0.6818 0.2764
0.8923 0.8923 0.1083
```

=====

Record 11
# Ho12Tl6Fe

Crystalline Ho12Tl6Fe at its relaxed geometry (PBE, the Alexandria database).

## Properties
energy relative to the elements	-2.09	eV per formula unit
symmetry	R-3
mass density	9693	kg/m3
energy	-4.19	eV/atom

POSCAR file:
```
Ho12Tl6Fe
1.0
6.0607 3.4991 4.3906
-6.0607 3.4991 4.3906
0.0000 -6.9983 4.3906
Ho Tl Fe
12 6 1
Direct
0.0244 0.9188 0.6947
0.0812 0.3053 0.9756
0.2054 0.4224 0.5412
0.3053 0.9756 0.0812
0.4224 0.5412 0.2054
0.4588 0.7946 0.5776
0.5412 0.2054 0.4224
0.5776 0.4588 0.7946
0.6947 0.0244 0.9188
0.7946 0.5776 0.4588
0.9188 0.6947 0.0244
0.9756 0.0812 0.3053
0.1364 0.7320 0.3541
0.2680 0.6459 0.8636
0.3541 0.1364 0.7320
0.6459 0.8636 0.2680
0.7320 0.3541 0.1364
0.8636 0.2680 0.6459
0.0000 0.0000 0.0000
```

=====

Record 12
# Ac4La4Pm3

Crystalline Ac4La4Pm3 at its relaxed geometry (PBE, the Alexandria database).

## Properties
energy relative to the elements	1.98	eV per formula unit
symmetry	Immm
mass density	7156	kg/m3
energy	-4.40	eV/atom

POSCAR file:
```
Ac4La4Pm3
1.0
-1.8649 5.9772 9.8819
1.8649 -5.9772 9.8819
1.8649 5.9772 -9.8819
Ac La Pm
4 4 3
Direct
0.1995 0.1995 0.0000
0.2707 0.5000 0.7707
0.7293 0.5000 0.2293
0.8005 0.8005 0.0000
0.0939 0.3246 0.7693
0.4446 0.6754 0.7693
0.5554 0.3246 0.2307
0.9061 0.6754 0.2307
0.0000 0.0000 0.0000
0.3992 0.8992 0.5000
0.6008 0.1008 0.5000
```